Compound: RbVPS2
Source: Alexandria via LeMat-Bulk
Functional: PBE
Structure: optimized geometry

```
RbVPS2
1.0
4.7419 0.0000 0.0000
0.0000 4.7419 0.0000
0.0000 0.0000 4.6944
P S Rb V
1 2 1 1
Direct
0.0000 0.0000 0.5000 P
0.0000 0.5000 0.0000 S
0.5000 0.0000 0.0000 S
0.5000 0.5000 0.5000 Rb
0.0000 0.0000 0.0000 V
```

Energy above the most stable polymorph in this dataset   0.0 kJ/mol of formula units


Compound: CeYInPt
Source: Alexandria via LeMat-Bulk
Functional: PBE
Structure: optimized geometry

```
CeYInPt
1.0
-3.4634 -3.4998 -1.6936
-0.0684 -1.3758 -5.0214
1.5829 -4.7532 -1.4189
Y Ce Pt In
1 1 1 1
Direct
0.5000 0.5000 0.5000 Y
0.0000 0.0000 0.0000 Ce
0.7500 0.7500 0.7500 Pt
0.2500 0.2500 0.2500 In
```

Energy of formation   -628 meV per atom


Compound: Ca2Sn2As3
Source: Alexandria via LeMat-Bulk
Functional: PBE
Structure: optimized geometry

```
Ca2Sn2As3
1.0
0.5794 0.2069 -4.1281
0.3947 -6.6398 -0.2774
-7.4282 1.9407 1.1646
Ca Sn As
2 2 3
Direct
0.6493 0.1640 0.2986 Ca
0.3507 0.8360 0.7014 Ca
0.9172 0.3141 0.8343 Sn
0.0828 0.6859 0.1657 Sn
0.0000 0.0000 0.0000 As
0.6922 0.6583 0.3845 As
0.3078 0.3417 0.6155 As
```

Energy of formation   -618 meV per atom